# 1
! MgRhW GGA-PBE optimized geometry; values from VASP
! Energy of formation = 0.071 eV per atom
! Calculated volume = 47 Å³/cell
! Excess energy over the best structure of this formula in the dataset = 0.091 eV per atom
! Total DFT energy (no corrections) = -21.69 eV for the cell shown
! Symmetry = P3m1
&SYSTEM
  ibrav = 0, nat = 3, ntyp = 3
/
ATOMIC_SPECIES
Mg 24.30 Mg.upf
Rh 102.91 Rh.upf
W 183.84 W.upf
ATOMIC_POSITIONS crystal
Mg 0.000 0.000 0.000
Rh 0.667 0.333 0.347
W 0.333 0.667 0.573
CELL_PARAMETERS angstrom
4.435 0.000 0.000
-2.218 3.841 0.000
0.000 0.000 2.777

=====

# 2
! Ba2InCo GGA-PBE optimized geometry; values from VASP
! Energy of formation = 0.331 eV per atom
! Calculated volume = 149 Å³/cell
! Total DFT energy (no corrections) = -12.37 eV for the cell shown
! Symmetry = R-3m
&SYSTEM
  ibrav = 0, nat = 4, ntyp = 3
/
ATOMIC_SPECIES
Ba 137.33 Ba.upf
In 114.82 In.upf
Co 58.93 Co.upf
ATOMIC_POSITIONS crystal
Ba 0.235 0.235 0.235
Ba 0.765 0.765 0.765
In 0.000 0.000 0.000
Co 0.500 0.500 0.500
CELL_PARAMETERS angstrom
2.124 1.226 9.546
-2.124 1.226 9.546
0.000 -2.453 9.546

=====

# 3
! Ac8P3PtSe4 GGA-PBE optimized geometry; values from VASP
! Calculated volume = 504 Å³/cell
! Formation energy from raw total energies = -1662 meV per atom
! Total DFT energy (no corrections) = -95.67 eV for the cell shown
! Symmetry = R-3m
&SYSTEM
  ibrav = 0, nat = 16, ntyp = 4
/
ATOMIC_SPECIES
Ac 227.00 Ac.upf
P 30.97 P.upf
Pt 195.08 Pt.upf
Se 78.96 Se.upf
ATOMIC_POSITIONS crystal
Ac 0.244 0.244 0.244
Ac 0.244 0.745 0.745
Ac 0.255 0.255 0.756
Ac 0.255 0.756 0.255
Ac 0.745 0.244 0.745
Ac 0.745 0.745 0.244
Ac 0.756 0.255 0.255
Ac 0.756 0.756 0.756
P 0.000 0.000 0.500
P 0.000 0.500 0.000
P 0.500 0.000 0.000
Pt 0.500 0.500 0.500
Se 0.000 0.000 0.000
Se 0.000 0.500 0.500
Se 0.500 0.000 0.500
Se 0.500 0.500 0.000
CELL_PARAMETERS angstrom
4.449 2.569 7.345
-4.449 2.569 7.345
0.000 -5.138 7.345

=====

# 4
! TiMnRe GGA-PBE optimized geometry; values from VASP
! Energy of formation = -0.145 eV per atom
! Calculated volume = 41 Å³/cell
! Excess energy over the best structure of this formula in the dataset = 0.086 eV per atom
! Total DFT energy (no corrections) = -29.95 eV for the cell shown
! Symmetry = P3m1
&SYSTEM
  ibrav = 0, nat = 3, ntyp = 3
/
ATOMIC_SPECIES
Ti 47.87 Ti.upf
Mn 54.94 Mn.upf
Re 186.21 Re.upf
ATOMIC_POSITIONS crystal
Ti 0.000 0.000 0.000
Mn 0.333 0.667 0.330
Re 0.667 0.333 0.646
CELL_PARAMETERS angstrom
4.209 0.000 0.000
-2.105 3.645 0.000
0.000 0.000 2.702

=====

# 5
! Pr2HgOs GGA-PBE optimized geometry; values from VASP
! Energy of formation = -0.091 eV per atom
! Calculated volume = 101 Å³/cell
! Excess energy over the best structure of this formula in the dataset = 0.081 eV per atom
! Total DFT energy (no corrections) = -21.45 eV for the cell shown
! Symmetry = Fm-3m
&SYSTEM
  ibrav = 0, nat = 4, ntyp = 3
/
ATOMIC_SPECIES
Pr 140.91 Pr.upf
Hg 200.59 Hg.upf
Os 190.23 Os.upf
ATOMIC_POSITIONS crystal
Pr 0.250 0.250 0.250
Pr 0.750 0.750 0.750
Hg 0.000 0.000 0.000
Os 0.500 0.500 0.500
CELL_PARAMETERS angstrom
0.000 3.691 3.691
3.691 0.000 3.691
3.691 3.691 0.000

=====

# 6
! K6Rb8F GGA-PBE optimized geometry; values from VASP
! Calculated volume = 1091 Å³/cell
! Formation energy from raw total energies = -325 meV per atom
! Total DFT energy (no corrections) = -21.07 eV for the cell shown
! Symmetry = R-3
&SYSTEM
  ibrav = 0, nat = 15, ntyp = 3
/
ATOMIC_SPECIES
K 39.10 K.upf
Rb 85.47 Rb.upf
F 19.00 F.upf
ATOMIC_POSITIONS crystal
K 0.180 0.486 0.599
K 0.401 0.820 0.514
K 0.486 0.599 0.180
K 0.514 0.401 0.820
K 0.599 0.180 0.486
K 0.820 0.514 0.401
Rb 0.031 0.902 0.290
Rb 0.098 0.710 0.969
Rb 0.259 0.259 0.259
Rb 0.290 0.031 0.902
Rb 0.710 0.969 0.098
Rb 0.741 0.741 0.741
Rb 0.902 0.290 0.031
Rb 0.969 0.098 0.710
F 0.000 0.000 0.000
CELL_PARAMETERS angstrom
6.339 3.660 7.840
-6.339 3.660 7.840
0.000 -7.320 7.840

=====

# 7
! Sr2AcPbN GGA-PBE optimized geometry; values from VASP
! Calculated volume = 149 Å³/cell
! Formation energy from raw total energies = -756 meV per atom
! Total DFT energy (no corrections) = -23.29 eV for the cell shown
! Symmetry = P4/mmm
&SYSTEM
  ibrav = 0, nat = 5, ntyp = 4
/
ATOMIC_SPECIES
Sr 87.62 Sr.upf
Ac 227.00 Ac.upf
Pb 207.20 Pb.upf
N 14.01 N.upf
ATOMIC_POSITIONS crystal
Sr 0.000 0.500 0.000
Sr 0.500 0.000 0.000
Ac 0.000 0.000 0.500
Pb 0.500 0.500 0.500
N 0.000 0.000 0.000
CELL_PARAMETERS angstrom
5.299 0.000 0.000
0.000 5.299 0.000
0.000 0.000 5.303

=====

# 8
! CaFeTe2 GGA-PBE optimized geometry; values from VASP
! Calculated volume = 107 Å³/cell
! Formation energy from raw total energies = -596 meV per atom
! Total DFT energy (no corrections) = -19.13 eV for the cell shown
! Symmetry = P-3m1
&SYSTEM
  ibrav = 0, nat = 4, ntyp = 3
/
ATOMIC_SPECIES
Ca 40.08 Ca.upf
Fe 55.84 Fe.upf
Te 127.60 Te.upf
ATOMIC_POSITIONS crystal
Ca 0.000 0.000 0.000
Fe 0.000 0.000 0.500
Te 0.333 0.667 0.287
Te 0.667 0.333 0.713
CELL_PARAMETERS angstrom
4.196 0.000 0.000
-2.098 3.634 0.000
0.000 0.000 7.019

=====

# 9
! BiPPb2 GGA-PBE optimized geometry; values from VASP
! Energy of formation = 0.122 eV per atom
! Calculated volume = 119 Å³/cell
! Excess energy over the best structure of this formula in the dataset = 0.000 eV per atom
! Total DFT energy (no corrections) = -16.22 eV for the cell shown
! Symmetry = R-3m
&SYSTEM
  ibrav = 0, nat = 4, ntyp = 3
/
ATOMIC_SPECIES
Bi 208.98 Bi.upf
P 30.97 P.upf
Pb 207.20 Pb.upf
ATOMIC_POSITIONS crystal
Bi 0.000 0.000 0.000
P 0.500 0.500 0.500
Pb 0.232 0.232 0.232
Pb 0.768 0.768 0.768
CELL_PARAMETERS angstrom
2.011 1.161 8.516
-2.011 1.161 8.516
0.000 -2.322 8.516

=====

# 10
! NaCeMgCl6 GGA-PBE optimized geometry; values from VASP
! Calculated volume = 503 Å³/cell
! Formation energy from raw total energies = -1985 meV per atom
! Total DFT energy (no corrections) = -75.59 eV for the cell shown
! Symmetry = P-31c
&SYSTEM
  ibrav = 0, nat = 18, ntyp = 4
/
ATOMIC_SPECIES
Na 22.99 Na.upf
Ce 140.12 Ce.upf
Mg 24.30 Mg.upf
Cl 35.45 Cl.upf
ATOMIC_POSITIONS crystal
Na 0.000 0.000 0.000
Na 0.000 0.000 0.500
Ce 0.333 0.667 0.250
Ce 0.667 0.333 0.750
Mg 0.333 0.667 0.750
Mg 0.667 0.333 0.250
Cl 0.027 0.367 0.633
Cl 0.027 0.660 0.867
Cl 0.340 0.367 0.867
Cl 0.340 0.973 0.633
Cl 0.367 0.027 0.133
Cl 0.367 0.340 0.367
Cl 0.633 0.660 0.633
Cl 0.633 0.973 0.867
Cl 0.660 0.027 0.367
Cl 0.660 0.633 0.133
Cl 0.973 0.340 0.133
Cl 0.973 0.633 0.367
CELL_PARAMETERS angstrom
6.843 0.000 0.000
-3.421 5.926 0.000
0.000 0.000 12.416

=====

# 11
! Ni2Os GGA-PBE optimized geometry; values from VASP
! Energy of formation = 0.208 eV per atom
! Calculated volume = 71 Å³/cell
! Excess energy over the best structure of this formula in the dataset = 0.145 eV per atom
! Total DFT energy (no corrections) = -44.34 eV for the cell shown
! Symmetry = Fd-3m
&SYSTEM
  ibrav = 0, nat = 6, ntyp = 2
/
ATOMIC_SPECIES
Ni 58.69 Ni.upf
Os 190.23 Os.upf
ATOMIC_POSITIONS crystal
Ni 0.000 0.000 0.000
Ni 0.000 0.000 0.500
Ni 0.000 0.500 0.000
Ni 0.500 0.000 0.000
Os 0.375 0.375 0.375
Os 0.625 0.625 0.625
CELL_PARAMETERS angstrom
0.000 3.284 3.284
3.284 0.000 3.284
3.284 3.284 0.000